Compound: ErAlGa
Source: Alexandria
Functional: PBE-GGA
Structure: optimized geometry

Lattice parameters (Å, degrees): 4.4822 4.4822 3.4499 90.00 90.00 120.00
Atoms (fractional coordinates):
1 Er 0.0000 0.0000 0.0000
2 Al 0.3333 0.6667 0.5000
3 Ga 0.6667 0.3333 0.5000

Calculated values
- Energy of formation: -1.66 eV/f.u.
- Spin magnetization: 0.000 μB per atom
- E: -4.33 eV/atom
- SG: No. 187
- ρ: 7.30 Mg/m³

=====

Compound: CsThGa2Br8
Source: Alexandria
Functional: PBE-GGA
Structure: optimized geometry

Lattice parameters (Å, degrees): 7.1113 7.4447 10.1347 74.37 82.32 81.36
Atoms (fractional coordinates):
1 Cs 0.0000 0.0000 0.0000
2 Th 0.0000 0.0000 0.5000
3 Ga 0.4736 0.4441 0.2127
4 Ga 0.5264 0.5559 0.7873
5 Br 0.1446 0.7242 0.7392
6 Br 0.2236 0.8042 0.3175
7 Br 0.2943 0.2244 0.4832
8 Br 0.4111 0.2823 0.0177
9 Br 0.5889 0.7177 0.9823
10 Br 0.7057 0.7756 0.5168
11 Br 0.7764 0.1958 0.6825
12 Br 0.8554 0.2758 0.2608

Calculated values
- Spin magnetization: 0.000 μB per atom
- ΔE_f (raw): -1.211 eV per atom
- E: -3.52 eV/atom
- SG: No. 2
- ρ: 3.74 Mg/m³

=====

Compound: AlNi2Bi
Source: Alexandria
Functional: PBE-GGA
Structure: optimized geometry

Lattice parameters (Å, degrees): 4.2159 4.2159 16.3319 90.00 90.00 90.00
Atoms (fractional coordinates):
1 Al 0.0000 0.0000 0.0000
2 Al 0.0000 0.5000 0.2500
3 Al 0.5000 0.0000 0.7500
4 Al 0.5000 0.5000 0.5000
5 Ni 0.1854 0.2500 0.1250
6 Ni 0.2500 0.6854 0.3750
7 Ni 0.2500 0.8146 0.8750
8 Ni 0.3146 0.2500 0.6250
9 Ni 0.6854 0.7500 0.6250
10 Ni 0.7500 0.1854 0.8750
11 Ni 0.7500 0.3146 0.3750
12 Ni 0.8146 0.7500 0.1250
13 Bi 0.0000 0.0000 0.5000
14 Bi 0.0000 0.5000 0.7500
15 Bi 0.5000 0.0000 0.2500
16 Bi 0.5000 0.5000 0.0000

Calculated values
- Energy of formation: 0.87 eV/f.u.
- Spin magnetization: 0.000 μB per atom
- E: -4.58 eV/atom
- SG: No. 122
- ρ: 8.09 Mg/m³

=====

Compound: SnBi2Pd2
Source: Alexandria
Functional: PBE-GGA
Structure: optimized geometry

Lattice parameters (Å, degrees): 8.4980 8.4980 3.2961 90.00 90.00 90.00
Atoms (fractional coordinates):
1 Sn 0.0000 0.0000 0.0000
2 Sn 0.5000 0.5000 0.0000
3 Bi 0.1553 0.3447 0.0000
4 Bi 0.3447 0.8447 0.0000
5 Bi 0.6553 0.1553 0.0000
6 Bi 0.8447 0.6553 0.0000
7 Pd 0.1316 0.6316 0.5000
8 Pd 0.3684 0.1316 0.5000
9 Pd 0.6316 0.8684 0.5000
10 Pd 0.8684 0.3684 0.5000

Calculated values
- Energy of formation: -0.27 eV/f.u.
- Spin magnetization: 0.000 μB per atom
- E: -4.48 eV/atom
- SG: No. 127
- ρ: 10.46 Mg/m³